# PmTm4Lu PBE relaxed
data_PmTm4Lu
_chemical_formula_sum 'Pm1 Tm4 Lu1'
_cell_length_a 6.503
_cell_length_b 6.503
_cell_length_c 6.503
_cell_angle_alpha 60.00
_cell_angle_beta 60.00
_cell_angle_gamma 60.00
_space_group_name_H-M_alt 'P 1'
_space_group_IT_number 1
_space_group_name_Hall 'P 1'
loop_
_atom_site_label
_atom_site_fract_x
_atom_site_fract_y
_atom_site_fract_z
Pm1 0.000 0.000 0.000
Tm1 0.375 0.375 0.375
Tm2 0.375 0.375 0.874
Tm3 0.375 0.874 0.375
Tm4 0.874 0.375 0.375
Lu1 0.750 0.750 0.750
# formation enthalpy at 0 K: 1.6 eV per formula unit
# total moment: 1.12 μB/f.u.



# PmTmLu2 PBE relaxed
data_PmTmLu2
_chemical_formula_sum 'Pm1 Tm1 Lu2'
_cell_length_a 5.599
_cell_length_b 5.599
_cell_length_c 5.599
_cell_angle_alpha 60.00
_cell_angle_beta 60.00
_cell_angle_gamma 60.00
_space_group_name_H-M_alt 'P 1'
_space_group_IT_number 1
_space_group_name_Hall 'P 1'
loop_
_atom_site_label
_atom_site_fract_x
_atom_site_fract_y
_atom_site_fract_z
Pm1 0.000 0.000 0.000
Tm1 0.500 0.500 0.500
Lu1 0.250 0.250 0.250
Lu2 0.750 0.750 0.750
# polymorph energy (0 for the lowest one): 76 meV/atom
# formation enthalpy at 0 K: 0.4 eV per formula unit
# total moment: 0.00 μB/f.u.



# PmTmLu2 PBE relaxed
data_PmTmLu2
_chemical_formula_sum 'Pm1 Tm1 Lu2'
_cell_length_a 11.578
_cell_length_b 11.578
_cell_length_c 11.578
_cell_angle_alpha 17.50
_cell_angle_beta 17.50
_cell_angle_gamma 17.50
_space_group_name_H-M_alt 'P 1'
_space_group_IT_number 1
_space_group_name_Hall 'P 1'
loop_
_atom_site_label
_atom_site_fract_x
_atom_site_fract_y
_atom_site_fract_z
Pm1 0.000 0.000 0.000
Tm1 0.500 0.500 0.500
Lu1 0.249 0.249 0.249
Lu2 0.751 0.751 0.751
# polymorph energy (0 for the lowest one): 0 meV/atom
# formation enthalpy at 0 K: 0.1 eV per formula unit
# total moment: 0.00 μB/f.u.



# PmTmLu4 PBE relaxed
data_PmTmLu4
_chemical_formula_sum 'Pm1 Tm1 Lu4'
_cell_length_a 6.498
_cell_length_b 6.498
_cell_length_c 6.498
_cell_angle_alpha 60.00
_cell_angle_beta 60.00
_cell_angle_gamma 60.00
_space_group_name_H-M_alt 'P 1'
_space_group_IT_number 1
_space_group_name_Hall 'P 1'
loop_
_atom_site_label
_atom_site_fract_x
_atom_site_fract_y
_atom_site_fract_z
Pm1 0.000 0.000 0.000
Tm1 0.250 0.250 0.250
Lu1 0.126 0.625 0.625
Lu2 0.625 0.126 0.625
Lu3 0.625 0.625 0.126
Lu4 0.625 0.625 0.625
# formation enthalpy at 0 K: 1.7 eV per formula unit
# total moment: 1.69 μB/f.u.



# PmLuV4 PBE relaxed
data_PmLuV4
_chemical_formula_sum 'Pm1 Lu1 V4'
_cell_length_a 5.375
_cell_length_b 5.375
_cell_length_c 5.375
_cell_angle_alpha 60.00
_cell_angle_beta 60.00
_cell_angle_gamma 60.00
_space_group_name_H-M_alt 'P 1'
_space_group_IT_number 1
_space_group_name_Hall 'P 1'
loop_
_atom_site_label
_atom_site_fract_x
_atom_site_fract_y
_atom_site_fract_z
Pm1 0.000 0.000 0.000
Lu1 0.750 0.750 0.750
V1 0.379 0.379 0.379
V2 0.379 0.379 0.863
V3 0.379 0.863 0.379
V4 0.863 0.379 0.379
# formation enthalpy at 0 K: 2.2 eV per formula unit
# total moment: 0.00 μB/f.u.



# PmYLu2 PBE relaxed
data_PmYLu2
_chemical_formula_sum 'Pm1 Y1 Lu2'
_cell_length_a 5.639
_cell_length_b 5.639
_cell_length_c 5.639
_cell_angle_alpha 60.00
_cell_angle_beta 60.00
_cell_angle_gamma 60.00
_space_group_name_H-M_alt 'P 1'
_space_group_IT_number 1
_space_group_name_Hall 'P 1'
loop_
_atom_site_label
_atom_site_fract_x
_atom_site_fract_y
_atom_site_fract_z
Pm1 0.000 0.000 0.000
Y1 0.500 0.500 0.500
Lu1 0.250 0.250 0.250
Lu2 0.750 0.750 0.750
# formation enthalpy at 0 K: 0.4 eV per formula unit
# total moment: 0.00 μB/f.u.



# PmYLu PBE relaxed
data_PmYLu
_chemical_formula_sum 'Pm1 Y1 Lu1'
_cell_length_a 7.981
_cell_length_b 7.981
_cell_length_c 7.981
_cell_angle_alpha 154.22
_cell_angle_beta 154.22
_cell_angle_gamma 36.77
_space_group_name_H-M_alt 'P 1'
_space_group_IT_number 1
_space_group_name_Hall 'P 1'
loop_
_atom_site_label
_atom_site_fract_x
_atom_site_fract_y
_atom_site_fract_z
Pm1 0.000 0.000 0.000
Y1 0.671 0.671 0.000
Lu1 0.335 0.335 0.000
# formation enthalpy at 0 K: 0.1 eV per formula unit
# total moment: 0.00 μB/f.u.



# PmYLuZn PBE relaxed
data_PmYLuZn
_chemical_formula_sum 'Pm1 Y1 Lu1 Zn1'
_cell_length_a 5.351
_cell_length_b 5.351
_cell_length_c 5.351
_cell_angle_alpha 60.00
_cell_angle_beta 60.00
_cell_angle_gamma 60.00
_space_group_name_H-M_alt 'P 1'
_space_group_IT_number 1
_space_group_name_Hall 'P 1'
loop_
_atom_site_label
_atom_site_fract_x
_atom_site_fract_y
_atom_site_fract_z
Pm1 0.000 0.000 0.000
Y1 0.500 0.500 0.500
Lu1 0.250 0.250 0.250
Zn1 0.750 0.750 0.750
# formation enthalpy at 0 K: 0.1 eV per formula unit
# total moment: 0.00 μB/f.u.



Energy for the records above, in order: -0.15631, -0.16385, -0.16661, -0.15692, -0.26699, -0.18251, -0.19171, -0.15579 Ha/atom